1.
meta-GGA SCAN Ba2MgOsO6, single point on PBEsol structure; crystal system = cubic; uncorrected formation energy = -2.411 eV/atom
1.0
0.000 4.033 4.033
4.033 0.000 4.033
4.033 4.033 0.000
Ba Mg Os O
2 1 1 6
Direct
0.250 0.250 0.250 Ba
0.750 0.750 0.750 Ba
0.000 0.000 0.000 Mg
0.500 0.500 0.500 Os
0.260 0.260 0.740 O
0.260 0.740 0.260 O
0.260 0.740 0.740 O
0.740 0.260 0.260 O
0.740 0.260 0.740 O
0.740 0.740 0.260 O

=====

2.
meta-GGA SCAN Li7VAs4, single point on PBEsol structure; crystal system = monoclinic; formation enthalpy at 0 K = -0.7392 eV/atom
1.0
6.601 -2.991 0.000
6.601 2.991 0.000
-5.326 0.000 10.591
Li V As
14 2 8
Direct
0.013 0.468 0.122 Li
0.024 0.476 0.377 Li
0.240 0.760 0.750 Li
0.249 0.748 0.992 Li
0.252 0.751 0.508 Li
0.468 0.013 0.622 Li
0.476 0.024 0.877 Li
0.524 0.976 0.123 Li
0.532 0.987 0.378 Li
0.748 0.249 0.492 Li
0.751 0.252 0.008 Li
0.760 0.240 0.250 Li
0.976 0.524 0.623 Li
0.987 0.532 0.878 Li
0.260 0.740 0.250 V
0.740 0.260 0.750 V
0.080 0.155 0.694 As
0.155 0.080 0.194 As
0.366 0.400 0.076 As
0.400 0.366 0.576 As
0.600 0.634 0.424 As
0.634 0.600 0.924 As
0.845 0.920 0.806 As
0.920 0.845 0.306 As

=====

3.
meta-GGA SCAN Mg3SnW, single point on PBEsol structure; crystal system = cubic; formation enthalpy at 0 K = 1.4327 eV/atom
1.0
5.197 0.000 0.000
0.000 5.197 0.000
0.000 0.000 5.197
Mg Sn W
3 1 1
Direct
0.000 0.000 0.500 Mg
0.000 0.500 0.000 Mg
0.500 0.000 0.000 Mg
0.000 0.000 0.000 Sn
0.500 0.500 0.500 W

=====

4.
meta-GGA SCAN ZrAs2Pb, single point on PBEsol structure; crystal system = cubic; formation enthalpy at 0 K = 0.2014 eV/atom
1.0
6.988 0.000 0.000
0.000 6.988 0.000
0.000 0.000 6.988
Zr As Pb
4 8 4
Direct
0.000 0.000 0.000 Zr
0.000 0.500 0.500 Zr
0.500 0.000 0.500 Zr
0.500 0.500 0.000 Zr
0.000 0.000 0.500 As
0.000 0.500 0.000 As
0.250 0.250 0.750 As
0.250 0.750 0.250 As
0.500 0.000 0.000 As
0.500 0.500 0.500 As
0.750 0.250 0.250 As
0.750 0.750 0.750 As
0.250 0.250 0.250 Pb
0.250 0.750 0.750 Pb
0.750 0.250 0.750 Pb
0.750 0.750 0.250 Pb

=====

5.
meta-GGA SCAN TcHg2Rh, single point on PBEsol structure; E above lowest polymorph = 0.14 eV/f.u.; crystal system = orthorhombic; formation enthalpy at 0 K = 0.5366 eV/atom
1.0
2.883 0.000 0.000
0.000 4.772 0.000
0.000 0.000 4.910
Tc Hg Rh
1 2 1
Direct
0.000 0.000 0.000 Tc
0.000 0.500 0.500 Hg
0.500 0.500 0.000 Hg
0.500 0.000 0.500 Rh

=====

6.
meta-GGA SCAN Zr2Ni2Hg, single point on PBEsol structure; crystal system = tetragonal; formation enthalpy at 0 K = -0.5222 eV/atom
1.0
7.099 0.000 0.000
0.000 7.099 0.000
0.000 0.000 3.270
Zr Ni Hg
4 4 2
Direct
0.170 0.330 0.000 Zr
0.330 0.830 0.000 Zr
0.670 0.170 0.000 Zr
0.830 0.670 0.000 Zr
0.124 0.624 0.500 Ni
0.376 0.124 0.500 Ni
0.624 0.876 0.500 Ni
0.876 0.376 0.500 Ni
0.000 0.000 0.500 Hg
0.500 0.500 0.500 Hg

=====

7.
meta-GGA SCAN TaAl3Cr, single point on PBEsol structure; crystal system = cubic; formation enthalpy at 0 K = 1.0019 eV/atom
1.0
4.921 0.000 0.000
0.000 4.921 0.000
0.000 0.000 4.921
Ta Al Cr
1 3 1
Direct
0.000 0.000 0.000 Ta
0.000 0.000 0.500 Al
0.000 0.500 0.000 Al
0.500 0.000 0.000 Al
0.500 0.500 0.500 Cr

=====

8.
meta-GGA SCAN BiMoO3, single point on PBEsol structure; crystal system = cubic; uncorrected formation energy = -1.217 eV/atom
1.0
3.976 0.000 0.000
0.000 3.976 0.000
0.000 0.000 3.976
Bi Mo O
1 1 3
Direct
0.000 0.000 0.000 Bi
0.500 0.500 0.500 Mo
0.000 0.500 0.500 O
0.500 0.000 0.500 O
0.500 0.500 0.000 O